1.
Material: Ce2HoTm3S6
Method: DFT, PBE-GGA
State: optimized geometry

Cell: 3.8834 7.8823 8.7672 Å, 103.73 102.80 90.00°
Closest atoms and distances in Å follow each position.
Fractional positions:
Ce (0.1676, 0.3359, 0.3353)  6 S 2.83-2.85
Ce (0.8324, 0.6641, 0.6647)  6 S 2.83-2.85
Tm (0.1678, 0.8323, 0.3355)  6 S 2.69-2.74
Tm (0.8322, 0.1677, 0.6645)  6 S 2.69-2.74
Tm (0.5000, 0.5000, 0.0000)  6 S 2.69-2.75
S (0.3379, 0.4069, 0.6758)  3 Tm 2.69, 3 Ce 2.83
S (0.9961, 0.2503, 0.9922)  3 Tm 2.72-2.75, 2 Ho 2.78, 1 Ce 2.85
S (0.0039, 0.7497, 0.0078)  3 Tm 2.72-2.75, 2 Ho 2.78, 1 Ce 2.85
S (0.3332, 0.9282, 0.6663)  3 Tm 2.71-2.74, 1 Ho 2.77, 2 Ce 2.84
S (0.6668, 0.0718, 0.3337)  3 Tm 2.71-2.74, 1 Ho 2.77, 2 Ce 2.84
S (0.6621, 0.5931, 0.3242)  3 Tm 2.69, 3 Ce 2.83
Ho (0.5000, 0.0000, 0.0000)  6 S 2.77-2.78

Calculated values
space group = C2/m
E_form (uncorrected) = -1.9851 eV per atom
energy = -6.537 eV per atom

2.
Material: CeHo3Tm2S6
Method: DFT, PBE-GGA
State: optimized geometry

Cell: 3.8807 7.8198 8.6987 Å, 102.81 102.89 90.00°
Closest atoms and distances in Å follow each position.
Fractional positions:
Ho (0.1635, 0.8348, 0.3269)  6 S 2.73-2.79
Ho (0.5000, 0.5000, 0.0000)  6 S 2.70-2.79
Ho (0.8365, 0.1652, 0.6731)  6 S 2.73-2.79
S (0.6688, 0.5809, 0.3376)  3 Tm 2.75-2.76, 3 Ho 2.79
S (0.9984, 0.7397, 0.9967)  1 Tm 2.69, 3 Ho 2.70-2.73, 2 Ce 2.81
S (0.0016, 0.2603, 0.0033)  1 Tm 2.69, 3 Ho 2.70-2.73, 2 Ce 2.81
S (0.6715, 0.0886, 0.3429)  2 Tm 2.72, 3 Ho 2.73-2.76, 1 Ce 2.83
S (0.3285, 0.9114, 0.6571)  2 Tm 2.72, 3 Ho 2.73-2.76, 1 Ce 2.83
S (0.3312, 0.4191, 0.6624)  3 Tm 2.75-2.76, 3 Ho 2.79
Tm (0.8354, 0.6714, 0.6709)  6 S 2.69-2.76
Tm (0.1646, 0.3286, 0.3291)  6 S 2.69-2.76
Ce (0.5000, 0.0000, 0.0000)  6 S 2.81-2.83

Calculated values
space group = C2/m
E_form (uncorrected) = -1.9734 eV per atom
energy = -6.421 eV per atom

3.
Material: Ce4HoTm3S8
Method: DFT, PBE-GGA
State: optimized geometry

Cell: 7.8188 7.9371 7.8188 Å, 119.51 120.00 90.00°
Closest atoms and distances in Å follow each position.
Fractional positions:
Ce (0.0000, 0.0000, 0.0000)  6 S 2.85
Ce (0.0000, 0.0000, 0.5000)  6 S 2.85
Ce (0.5000, 0.0000, 0.5000)  6 S 2.85
Ce (0.5000, 0.0000, 0.0000)  6 S 2.84
Tm (0.5000, 0.5000, 0.0000)  6 S 2.72
Tm (0.0000, 0.5000, 0.5000)  6 S 2.72
Tm (0.5000, 0.5000, 0.5000)  6 S 2.72
S (0.2455, 0.7337, 0.9882)  2 Tm 2.72, 1 Ho 2.74, 3 Ce 2.84-2.85
S (0.7441, 0.7324, 0.4883)  3 Tm 2.72, 3 Ce 2.85
S (0.7427, 0.7337, 0.9882)  2 Tm 2.72, 1 Ho 2.74, 3 Ce 2.84-2.85
S (0.2455, 0.7337, 0.4911)  2 Tm 2.72, 1 Ho 2.74, 3 Ce 2.84-2.85
S (0.2559, 0.2676, 0.5117)  3 Tm 2.72, 3 Ce 2.85
S (0.7545, 0.2663, 0.5089)  2 Tm 2.72, 1 Ho 2.74, 3 Ce 2.84-2.85
S (0.7545, 0.2663, 0.0118)  2 Tm 2.72, 1 Ho 2.74, 3 Ce 2.84-2.85
S (0.2573, 0.2663, 0.0118)  2 Tm 2.72, 1 Ho 2.74, 3 Ce 2.84-2.85
Ho (0.0000, 0.5000, 0.0000)  6 S 2.74

Calculated values
space group = R-3m
E_form (uncorrected) = -2.0090 eV per atom
energy = -6.681 eV per atom

4.
Material: CeHoTm2S4
Method: DFT, PBE-GGA
State: optimized geometry

Cell: 3.8721 6.7844 6.7496 Å, 70.84 90.00 90.00°
Closest atoms and distances in Å follow each position.
Fractional positions:
S (0.5000, 0.2417, 0.7474)  3 Tm 2.70-2.74, 2 Ho 2.77, 1 Ce 2.82
S (0.0000, 0.7626, 0.7403)  3 Tm 2.69-2.74, 1 Ho 2.77, 2 Ce 2.82
S (0.0000, 0.2374, 0.2597)  3 Tm 2.69-2.74, 1 Ho 2.77, 2 Ce 2.82
S (0.5000, 0.7583, 0.2526)  3 Tm 2.70-2.74, 2 Ho 2.77, 1 Ce 2.82
Ho (0.0000, 0.5000, 0.5000)  6 S 2.77
Tm (0.0000, 0.0000, 0.0000)  6 S 2.74
Tm (0.5000, 0.0000, 0.5000)  6 S 2.69-2.70
Ce (0.5000, 0.5000, 0.0000)  6 S 2.82

Calculated values
space group = P2/m
E_form (uncorrected) = -1.9755 eV per atom
energy = -6.471 eV per atom

5.
Material: Ce3Ho4TmS8
Method: DFT, PBE-GGA
State: optimized geometry

Cell: 7.8457 7.8770 7.8454 Å, 119.87 120.00 90.00°
Closest atoms and distances in Å follow each position.
Fractional positions:
Ho (0.0000, 0.0000, 0.0000)  6 S 2.73
Ho (0.5000, 0.0000, 0.0000)  6 S 2.79
Ho (0.5000, 0.0000, 0.5000)  6 S 2.73
Ho (0.0000, 0.0000, 0.5000)  6 S 2.73
S (0.2456, 0.2368, 0.4912)  3 Ho 2.73, 3 Ce 2.83
S (0.2403, 0.2429, 0.9916)  3 Ho 2.73-2.79, 1 Tm 2.77, 2 Ce 2.83
S (0.2487, 0.7571, 0.4974)  3 Ho 2.73-2.79, 1 Tm 2.77, 2 Ce 2.83
S (0.2487, 0.7571, 0.0084)  3 Ho 2.73-2.79, 1 Tm 2.77, 2 Ce 2.83
S (0.7513, 0.2429, 0.5026)  3 Ho 2.73-2.79, 1 Tm 2.77, 2 Ce 2.83
S (0.7513, 0.2429, 0.9916)  3 Ho 2.73-2.79, 1 Tm 2.77, 2 Ce 2.83
S (0.7544, 0.7632, 0.5088)  3 Ho 2.73, 3 Ce 2.83
S (0.7597, 0.7571, 0.0084)  3 Ho 2.73-2.79, 1 Tm 2.77, 2 Ce 2.83
Tm (0.0000, 0.5000, 0.0000)  6 S 2.77
Ce (0.5000, 0.5000, 0.5000)  6 S 2.83
Ce (0.0000, 0.5000, 0.5000)  6 S 2.83
Ce (0.5000, 0.5000, 0.0000)  6 S 2.83

Calculated values
space group = R-3m
E_form (uncorrected) = -2.0015 eV per atom
energy = -6.602 eV per atom

6.
Material: CeHo4TmS8
Method: DFT, PBE-GGA
State: optimized geometry

Cell: 8.0686 8.0686 8.0540 Å, 59.94 59.94 60.00°
Closest atoms and distances in Å follow each position.
Fractional positions:
Ho (0.5004, 0.9998, 0.5000)  6 S 2.72-2.77
Ho (0.6246, 0.6246, 0.1262)  4 S 2.61-2.62
Ho (0.9998, 0.9998, 0.5000)  6 S 2.72-2.77
Ho (0.9998, 0.5004, 0.5000)  6 S 2.72-2.77
S (0.7591, 0.7591, 0.2546)  3 Ho 2.62-2.77, 1 Tm 2.75
S (0.7591, 0.2272, 0.2546)  3 Ho 2.62-2.77, 1 Tm 2.75
S (0.7871, 0.2363, 0.7403)  1 Tm 2.70, 1 Ce 2.71, 2 Ho 2.73
S (0.2272, 0.7591, 0.2546)  3 Ho 2.62-2.77, 1 Tm 2.75
S (0.7569, 0.7569, 0.7294)  4 Ho 2.61-2.77
S (0.2381, 0.2381, 0.2856)  1 Ce 2.71, 3 Ho 2.72
S (0.2363, 0.7871, 0.7403)  1 Tm 2.70, 1 Ce 2.71, 2 Ho 2.73
S (0.2363, 0.2363, 0.7403)  1 Tm 2.70, 1 Ce 2.71, 2 Ho 2.73
Tm (0.0000, 0.0000, 0.0001)  6 S 2.70-2.75
Ce (0.3754, 0.3754, 0.8737)  4 S 2.71

Calculated values
space group = R3m
E_form (uncorrected) = -1.9094 eV per atom
energy = -6.319 eV per atom

7.
Material: Ce3HoTm3S8
Method: DFT, PBE-GGA
State: optimized geometry

Cell: 7.8017 7.8017 7.9310 Å, 119.46 90.00 120.00°
Closest atoms and distances in Å follow each position.
Fractional positions:
S (0.2558, 0.5116, 0.2675)  3 Tm 2.72, 3 Ce 2.85
S (0.7522, 0.5045, 0.2639)  2 Tm 2.72, 1 Ho 2.76, 2 Ce 2.85
S (0.2478, 0.4955, 0.7361)  2 Tm 2.72, 1 Ho 2.76, 2 Ce 2.85
S (0.7442, 0.4884, 0.7325)  3 Tm 2.72, 3 Ce 2.85
S (0.7522, 0.0116, 0.2639)  2 Tm 2.72, 1 Ho 2.76, 2 Ce 2.85
S (0.7406, 0.9884, 0.7361)  2 Tm 2.72, 1 Ho 2.76, 2 Ce 2.85
S (0.2478, 0.9884, 0.7361)  2 Tm 2.72, 1 Ho 2.76, 2 Ce 2.85
S (0.2594, 0.0116, 0.2639)  2 Tm 2.72, 1 Ho 2.76, 2 Ce 2.85
Tm (0.5000, 0.0000, 0.5000)  6 S 2.72
Tm (0.0000, 0.5000, 0.5000)  6 S 2.72
Tm (0.5000, 0.5000, 0.5000)  6 S 2.72
Ce (0.0000, 0.0000, 0.0000)  6 S 2.85
Ce (0.5000, 0.5000, 0.0000)  6 S 2.85
Ce (0.0000, 0.5000, 0.0000)  6 S 2.85
Ho (0.0000, 0.0000, 0.5000)  6 S 2.76

Calculated values
space group = R-3m
E_form (uncorrected) = -2.0343 eV per atom
energy = -6.622 eV per atom

8.
Material: CeHoTm2S6
Method: DFT, PBE-GGA
State: optimized geometry

Cell: 6.9301 6.9300 7.3295 Å, 61.79 61.79 60.00°
Closest atoms and distances in Å follow each position.
Fractional positions:
S (0.7243, 0.1375, 0.7477)  2 Tm 2.67-2.74, 1 Ho 2.77, 1 Ce 2.81
S (0.3904, 0.7243, 0.7477)  2 Tm 2.67-2.74, 1 Ho 2.77, 1 Ce 2.81
S (0.6175, 0.2265, 0.2459)  2 Tm 2.69-2.74, 1 Ho 2.73, 1 Ce 2.91
S (0.2265, 0.9101, 0.2459)  2 Tm 2.69-2.74, 1 Ho 2.73, 1 Ce 2.91
S (0.9101, 0.6175, 0.2459)  2 Tm 2.69-2.74, 1 Ho 2.73, 1 Ce 2.91
S (0.1375, 0.3904, 0.7477)  2 Tm 2.67-2.74, 1 Ho 2.77, 1 Ce 2.81
Tm (0.5169, 0.5169, 0.4493)  6 S 2.69-2.74
Tm (0.0133, 0.0133, 0.9602)  6 S 2.67-2.74
Ho (0.3156, 0.3155, 0.0534)  6 S 2.73-2.77
Ce (0.8095, 0.8095, 0.5715)  6 S 2.81-2.91

Calculated values
space group = R3
E_form (uncorrected) = -2.0218 eV per atom
energy = -6.444 eV per atom

9.
Material: CeHo2TmS4
Method: DFT, PBE-GGA
State: optimized geometry

Cell: 3.8887 6.7962 6.7680 Å, 109.24 90.00 90.00°
Closest atoms and distances in Å follow each position.
Fractional positions:
Ho (0.5000, 0.0000, 0.5000)  6 S 2.72
Ho (0.0000, 0.5000, 0.5000)  6 S 2.78
S (0.5000, 0.7569, 0.7488)  3 Ho 2.72-2.78, 2 Tm 2.75, 1 Ce 2.81
S (0.5000, 0.2431, 0.2512)  3 Ho 2.72-2.78, 2 Tm 2.75, 1 Ce 2.81
S (0.0000, 0.2401, 0.7430)  3 Ho 2.72-2.78, 1 Tm 2.75, 2 Ce 2.81
S (0.0000, 0.7599, 0.2570)  3 Ho 2.72-2.78, 1 Tm 2.75, 2 Ce 2.81
Ce (0.5000, 0.5000, 0.0000)  6 S 2.81
Tm (0.0000, 0.0000, 0.0000)  6 S 2.75

Calculated values
space group = P2/m
E_form (uncorrected) = -1.9821 eV per atom
energy = -6.491 eV per atom

10.
Material: Ce2HoUS5
Method: DFT, PBE-GGA
State: optimized geometry

Cell: 4.8727 4.8727 10.3927 Å, 90.00 90.00 90.00°
Closest atoms and distances in Å follow each position.
Fractional positions:
S (0.5000, 0.0000, 0.5000)  2 Ho 2.44
S (0.0000, 0.5000, 0.5000)  2 Ho 2.44
S (0.5000, 0.5000, 0.0000)  2 Ce 3.06
S (0.0000, 0.0000, 0.7531)  1 U 2.57, 1 Ho 2.63
S (0.0000, 0.0000, 0.2469)  1 U 2.57, 1 Ho 2.63
Ce (0.5000, 0.5000, 0.2947)  5 S 3.06-3.24
Ce (0.5000, 0.5000, 0.7053)  5 S 3.06-3.24
U (0.0000, 0.0000, 0.0000)  2 S 2.57
Ho (0.0000, 0.0000, 0.5000)  6 S 2.44-2.63

Calculated values
space group = P4/mmm
E_form (uncorrected) = -1.2757 eV per atom
energy = -6.650 eV per atom

11.
Material: CeHo2US8
Method: DFT, PBE-GGA
State: optimized geometry

Cell: 6.3062 6.1252 8.2475 Å, 89.99 90.00 90.99°
Closest atoms and distances in Å follow each position.
Fractional positions:
Ce (0.0000, 0.0000, 0.5000)  6 S 2.67-2.78
S (0.1650, 0.7858, 0.7671)  1 U 2.56, 1 Ho 2.77, 1 Ce 2.78
S (0.8356, 0.2147, 0.7670)  1 U 2.56, 1 Ho 2.77, 1 Ce 2.78
S (0.1644, 0.7853, 0.2330)  1 U 2.56, 1 Ho 2.77, 1 Ce 2.78
S (0.8350, 0.2142, 0.2329)  1 U 2.56, 1 Ho 2.77, 1 Ce 2.78
S (0.6686, 0.7230, 0.5008)  1 Ce 2.67, 2 Ho 2.67
S (0.3314, 0.2770, 0.4992)  1 Ce 2.67, 2 Ho 2.67
S (0.6837, 0.7310, 0.9992)  1 U 2.57, 2 Ho 2.75-2.76
S (0.3163, 0.2690, 0.0008)  1 U 2.57, 2 Ho 2.75-2.76
Ho (0.5010, 0.5012, 0.2516)  6 S 2.67-2.77
Ho (0.4990, 0.4988, 0.7484)  6 S 2.67-2.77
U (0.0000, 0.0000, 0.0000)  6 S 2.56-2.57

Calculated values
space group = P-1
E_form (uncorrected) = -1.5661 eV per atom
energy = -6.516 eV per atom

12.
Material: Ce2HoUS4
Method: DFT, PBE-GGA
State: optimized geometry

Cell: 3.9266 6.8603 6.8392 Å, 109.18 90.00 90.00°
Closest atoms and distances in Å follow each position.
Fractional positions:
Ce (0.0000, 0.5000, 0.5000)  6 S 2.83
Ce (0.5000, 0.0000, 0.5000)  6 S 2.84
S (0.0000, 0.7443, 0.2379)  2 Ho 2.74, 1 U 2.76, 3 Ce 2.83-2.84
S (0.0000, 0.2557, 0.7621)  2 Ho 2.74, 1 U 2.76, 3 Ce 2.83-2.84
S (0.5000, 0.2482, 0.2390)  1 Ho 2.74, 2 U 2.76, 3 Ce 2.83-2.84
S (0.5000, 0.7518, 0.7610)  1 Ho 2.74, 2 U 2.76, 3 Ce 2.83-2.84
Ho (0.5000, 0.5000, 0.0000)  6 S 2.74
U (0.0000, 0.0000, 0.0000)  6 S 2.76

Calculated values
space group = P2/m
E_form (uncorrected) = -1.8571 eV per atom
energy = -7.387 eV per atom